[1]
Compound: BaTcGe3
Source: Alexandria via LeMat-Bulk
Functional: GGA-PBE
Structure: optimized geometry

N(E_F) ... 9.95 states/eV/cell
Final energy ... -2.928 eV/atom
Space group ... Pm-3m
Formation enthalpy at 0 K ... 2.30 eV per atom

Cell: 5.538 5.538 5.538 Å, 90.00 90.00 90.00°
Fractional coordinates of all 5 atoms:
Ba  0.000  0.000  0.000
Tc  0.500  0.500  0.500
Ge  0.000  0.000  0.500
Ge  0.000  0.500  0.000
Ge  0.500  0.000  0.000

***

[2]
Compound: BaCrAuI2
Source: Alexandria via LeMat-Bulk
Functional: GGA-PBE
Structure: optimized geometry

N(E_F) ... 0.30 states/eV/cell
Final energy ... -3.497 eV/atom
Space group ... P4/mmm
Raw formation energy ... 88 meV/atom

Cell: 6.674 6.674 6.175 Å, 90.00 90.00 90.00°
Fractional coordinates of all 5 atoms:
Ba  0.000  0.000  0.000
Cr  0.500  0.500  0.500
Au  0.000  0.000  0.500
I  0.000  0.500  0.000
I  0.500  0.000  0.000

***

[3]
Compound: SnOs3Au
Source: Alexandria via LeMat-Bulk
Functional: GGA-PBE
Structure: optimized geometry

N(E_F) ... 7.90 states/eV/cell
Final energy ... -5.512 eV/atom
Space group ... Pm-3m
Formation enthalpy at 0 K ... 2.68 eV per atom
E above lowest polymorph ... 0 meV/atom

Cell: 4.906 4.906 4.906 Å, 90.00 90.00 90.00°
Fractional coordinates of all 5 atoms:
Sn  0.000  0.000  0.000
Os  0.000  0.500  0.500
Os  0.500  0.000  0.500
Os  0.500  0.500  0.000
Au  0.500  0.500  0.500

***

[4]
Compound: Ba3GePt
Source: Alexandria via LeMat-Bulk
Functional: GGA-PBE
Structure: optimized geometry

N(E_F) ... 2.85 states/eV/cell
Final energy ... -3.602 eV/atom
Space group ... Pm-3m
Formation enthalpy at 0 K ... -0.32 eV per atom
E above lowest polymorph ... 0 meV/atom

Cell: 6.040 6.040 6.040 Å, 90.00 90.00 90.00°
Fractional coordinates of all 5 atoms:
Ba  0.000  0.000  0.500
Ba  0.000  0.500  0.000
Ba  0.500  0.000  0.000
Ge  0.500  0.500  0.500
Pt  0.000  0.000  0.000

***

[5]
Compound: TbPuIn6
Source: Alexandria via LeMat-Bulk
Functional: GGA-PBE
Structure: optimized geometry

N(E_F) ... 12.44 states/eV/cell
Final energy ... -4.703 eV/atom
Space group ... P-6m2
Formation enthalpy at 0 K ... -0.28 eV per atom
E above lowest polymorph ... 51 meV/atom

Cell: 6.643 6.643 5.270 Å, 90.00 90.00 120.00°
Fractional coordinates of all 8 atoms:
Tb  0.000  0.000  0.000
Pu  0.667  0.333  0.500
In  0.010  0.505  0.000
In  0.171  0.342  0.500
In  0.171  0.829  0.500
In  0.495  0.505  0.000
In  0.495  0.990  0.000
In  0.658  0.829  0.500

***

[6]
Compound: La9CeSm4
Source: Alexandria via LeMat-Bulk
Functional: GGA-PBE
Structure: optimized geometry

N(E_F) ... 56.51 states/eV/cell
Final energy ... -4.806 eV/atom
Space group ... P6_3/mmc
Formation enthalpy at 0 K ... 0.13 eV per atom

Cell: 10.106 10.106 11.383 Å, 90.00 90.00 120.00°
Fractional coordinates of all 28 atoms:
La  0.073  0.536  0.250
La  0.209  0.419  0.543
La  0.209  0.419  0.957
La  0.209  0.791  0.543
La  0.209  0.791  0.957
La  0.419  0.209  0.043
La  0.419  0.209  0.457
La  0.464  0.536  0.250
La  0.464  0.927  0.250
La  0.536  0.073  0.750
La  0.536  0.464  0.750
La  0.581  0.791  0.543
La  0.581  0.791  0.957
La  0.791  0.209  0.043
La  0.791  0.209  0.457
La  0.791  0.581  0.043
La  0.791  0.581  0.457
La  0.927  0.464  0.750
Ce  0.333  0.667  0.750
Ce  0.667  0.333  0.250
Sm  0.000  0.000  0.000
Sm  0.000  0.000  0.500
Sm  0.112  0.225  0.250
Sm  0.112  0.888  0.250
Sm  0.225  0.112  0.750
Sm  0.775  0.888  0.250
Sm  0.888  0.112  0.750
Sm  0.888  0.775  0.750

***

Question: Look up the final energy of the sixth one.
Answer: -4.806 eV/atom

***

Question: Number 6 is which compound?
Answer: La9CeSm4